# K3NdU2O9

Crystalline K3NdU2O9 at its relaxed geometry (GGA-PBE, the Alexandria database).

extended XYZ file:
```
15
Lattice="6.191 0.000 0.000 -3.096 5.362 0.000 0.000 0.000 7.586" Properties=species:S:1:pos:R:3 pbc="T T T"
K 0.000 3.575 5.032
K 0.000 0.000 0.000
K 3.096 1.787 2.554
Nd 0.000 0.000 3.793
U 0.000 3.575 1.234
U 3.096 1.787 6.352
O 4.542 0.952 5.185
O 3.096 3.457 5.185
O 1.649 0.952 5.185
O 1.446 4.409 2.402
O 0.000 1.905 2.402
O -1.446 4.409 2.402
O 3.096 0.000 0.000
O -1.548 2.681 0.000
O 1.548 2.681 0.000
```

Computed properties:
D(E_F) ... 0.0 states/eV per cell
Calculated density ... 5.8 g cm⁻³
Calculated total energy ... -7.879 eV/atom
Uncorrected formation energy ... -2862 meV per atom